DFT (GGA-PBE) results for a relaxed CdCo2Pb2 crystal.

## Properties
Volume   97.1 Å³/f.u.
Total energy   -20.686 eV/f.u.
Size of the total moment   4.6 μB per cell

a = 7.006 Å, b = 7.006 Å, c = 3.955 Å
α = 90.00°, β = 90.00°, γ = 90.00°
Space group P4/mbm (No. 127)
Unique sites:
Cd: 0.000 0.000 0.000 (multiplicity 2)
Co: 0.122 0.378 0.000 (multiplicity 4)
Pb: 0.170 0.670 0.500 (multiplicity 4)